Record 1
The following is a GGA-PBE calculation of crystalline MgCuNi2C at its relaxed geometry, from Alexandria via LeMat-Bulk.

## Properties
**Density of states at the Fermi level**: 2.6 states/eV/cell
**ρ**: 6.31 Mg/m³
**Crystal system**: tetragonal
**Symmetry**: No. 123
**Total energy**: -5.318 eV per atom

abc: 3.823 3.823 3.909
angles: 90.00 90.00 90.00
Element x y z (fractional)
Cu: 0.000 0.000 0.500
Ni: 0.000 0.500 0.000
Ni: 0.500 0.000 0.000
Mg: 0.500 0.500 0.500
C: 0.000 0.000 0.000


Record 2
The following is a GGA-PBE calculation of crystalline K3Ce3GaS8 at its relaxed geometry, from Alexandria via LeMat-Bulk.

## Properties
**Density of states at the Fermi level**: 14.0 states/eV/cell
**ρ**: 3.36 Mg/m³
**Crystal system**: monoclinic
**Symmetry**: No. 12
**Total energy**: -5.329 eV per atom

abc: 8.136 8.138 8.810
angles: 117.51 89.98 120.00
Element x y z (fractional)
K: 0.000 0.000 0.000
K: 0.500 0.500 0.000
K: 0.000 0.500 0.000
Ga: 0.000 0.000 0.500
S: 0.751 0.969 0.688
S: 0.265 0.529 0.294
S: 0.249 0.031 0.312
S: 0.780 0.561 0.312
S: 0.219 0.969 0.688
S: 0.220 0.439 0.688
S: 0.735 0.471 0.706
S: 0.781 0.031 0.312
Ce: 0.500 0.000 0.500
Ce: 0.500 0.500 0.500
Ce: 0.000 0.500 0.500


Record 3
The following is a GGA-PBE calculation of crystalline Re2SeCl at its relaxed geometry, from Alexandria via LeMat-Bulk.

## Properties
**Density of states at the Fermi level**: 1.2 states/eV/cell
**ρ**: 8.99 Mg/m³
**Crystal system**: monoclinic
**E above lowest polymorph**: 46.5 meV per atom
**Symmetry**: No. 8

abc: 3.708 3.708 9.095
angles: 81.03 81.03 46.85
Element x y z (fractional)
Cl: 0.247 0.247 0.172
Re: 0.033 0.033 0.789
Re: 0.746 0.746 0.960
Se: 0.473 0.473 0.579


Record 4
The following is a GGA-PBE calculation of crystalline SrCa2FeW at its relaxed geometry, from Alexandria via LeMat-Bulk.

## Properties
**Density of states at the Fermi level**: 3.9 states/eV/cell
**ρ**: 4.17 Mg/m³
**Crystal system**: tetragonal
**E above lowest polymorph**: 0.0 meV per atom
**Symmetry**: No. 123

abc: 5.380 5.610 5.380
angles: 90.00 90.00 90.00
Element x y z (fractional)
Ca: 0.000 0.000 0.500
Ca: 0.500 0.000 0.000
Fe: 0.000 0.000 0.000
Sr: 0.000 0.500 0.000
W: 0.500 0.500 0.500


Record 5
The following is a GGA-PBE calculation of crystalline BeP2Os at its relaxed geometry, from Alexandria via LeMat-Bulk.

## Properties
**Density of states at the Fermi level**: 2.2 states/eV/cell
**ρ**: 8.58 Mg/m³
**Crystal system**: tetragonal
**Symmetry**: No. 123
**Total energy**: -6.023 eV per atom

abc: 3.045 4.075 4.075
angles: 90.00 90.00 90.00
Element x y z (fractional)
P: 0.000 0.500 0.500
P: 0.000 0.000 0.000
Os: 0.500 0.000 0.500
Be: 0.500 0.500 0.000


Record 6
The following is a GGA-PBE calculation of crystalline PtAu2Cl at its relaxed geometry, from Alexandria via LeMat-Bulk.

## Properties
**Density of states at the Fermi level**: 1.7 states/eV/cell
**ρ**: 13.54 Mg/m³
**Crystal system**: orthorhombic
**E above lowest polymorph**: 150.3 meV per atom
**Symmetry**: No. 44

abc: 5.700 5.700 5.700
angles: 150.46 121.96 66.46
Element x y z (fractional)
Pt: 0.257 0.757 0.500
Cl: 0.462 0.462 0.000
Au: 0.760 0.260 0.500
Au: 0.021 0.021 0.000


What is the ρ in the third record?
8.99 Mg/m³